# 1
## SmErAl6 (PBE)

Data for a relaxed structure of SmErAl6.

a = 4.6628 Å, b = 6.2842 Å, c = 6.2842 Å
α = 119.94°, β = 90.00°, γ = 90.00°
Fractional positions:
Sm (0.5000, 0.4164, 0.5836)
Er (0.0000, 0.0835, 0.9165)
Al (0.0000, 0.0392, 0.3945)
Al (0.0000, 0.6055, 0.9608)
Al (0.0000, 0.6051, 0.3949)
Al (0.5000, 0.4560, 0.1032)
Al (0.5000, 0.8968, 0.5440)
Al (0.5000, 0.8972, 0.1028)

Total energy, eV per atom: -4.394
Calculated formation energy, eV/atom: -0.43

# 2
## InSN3 (PBE)

Data for a relaxed structure of InSN3.

a = 3.6412 Å, b = 3.6412 Å, c = 3.6412 Å
α = 90.00°, β = 90.00°, γ = 90.00°
Fractional positions:
S (0.0000, 0.0000, 0.0000)
N (0.0000, 0.5000, 0.0000)
N (0.0000, 0.0000, 0.5000)
N (0.5000, 0.0000, 0.0000)
In (0.5000, 0.5000, 0.5000)

Total energy, eV per atom: -4.763
Raw formation energy, meV per atom: 1605

# 3
## Nd8Dy4Pu (PBE)

Data for a relaxed structure of Nd8Dy4Pu.

a = 7.8715 Å, b = 7.8715 Å, c = 7.8715 Å
α = 90.26°, β = 90.26°, γ = 90.26°
Each line ends with the local moment (μB).
Fractional positions:
Nd (0.2422, 0.7555, 0.2422)  0.02
Nd (0.7578, 0.7578, 0.2445)  0.02
Nd (0.7578, 0.2445, 0.7578)  0.02
Nd (0.2445, 0.7578, 0.7578)  0.02
Nd (0.7570, 0.7570, 0.7570)  0.03
Nd (0.2430, 0.2430, 0.2430)  0.03
Nd (0.7555, 0.2422, 0.2422)  0.02
Nd (0.2422, 0.2422, 0.7555)  0.02
Dy (0.5000, 0.0000, 0.5000)  0.12
Dy (0.0000, 0.5000, 0.5000)  0.12
Dy (0.5000, 0.5000, 0.0000)  0.12
Dy (0.0000, 0.0000, 0.0000)  -0.20
Pu (0.5000, 0.5000, 0.5000)  5.49

Total energy, eV per atom: -4.961
Calculated formation energy, eV/atom: 0.49

# 4
## LiZn2Mo (PBE)

Data for a relaxed structure of LiZn2Mo.

a = 4.3771 Å, b = 4.3771 Å, c = 4.3771 Å
α = 60.00°, β = 60.00°, γ = 60.00°
Each line ends with the local moment (μB).
Fractional positions:
Mo (0.5000, 0.5000, 0.5000)  1.43
Zn (0.2500, 0.2500, 0.2500)  -0.01
Zn (0.7500, 0.7500, 0.7500)  -0.01
Li (0.0000, 0.0000, 0.0000)  -0.02

Distance to the lowest polymorph of the same formula, meV per atom: 237
Total energy, eV per atom: -3.600
Calculated formation energy, eV/atom: 0.22

Among the records above, which one has the highest total energy?
LiZn2Mo